Record 1
BaAlIrOs2 after structural relaxation. Source: Alexandria, functional PBE.

Computed properties:
Relative energy among the computed polymorphs = 12.17 eV per formula unit
Space-group type = P4/mmm
ΔH_f (0 K) = 3.52 eV per atom

Cell lengths 4.9480, 4.9480, 5.1118 Å; angles 90.00, 90.00, 90.00 degrees
Last column: nearest neighbours and their distance in Å.
Positions (direct):
Ba 0.0000 0.0000 0.0000  4 Os 2.47, 2 Al 2.56
Al 0.0000 0.0000 0.5000  2 Ba 2.56
Ir 0.5000 0.5000 0.5000  4 Al 3.50, 8 Os 3.56
Os 0.0000 0.5000 0.0000  2 Ba 2.47
Os 0.5000 0.0000 0.0000  2 Ba 2.47

---

Record 2
BaAlIrOs2 after structural relaxation. Source: Alexandria, functional PBE.

Computed properties:
Relative energy among the computed polymorphs = 0.00 eV per formula unit
Space-group type = P4/mmm
ΔH_f (0 K) = 1.09 eV per atom

Cell lengths 4.6957, 4.6957, 4.7100 Å; angles 90.00, 90.00, 90.00 degrees
Last column: nearest neighbours and their distance in Å.
Positions (direct):
Ba 0.0000 0.0000 0.0000  4 Ir 3.32, 8 Os 3.33
Al 0.5000 0.5000 0.5000  4 Os 2.35, 2 Ir 2.35
Ir 0.5000 0.5000 0.0000  2 Al 2.35
Os 0.0000 0.5000 0.5000  2 Al 2.35
Os 0.5000 0.0000 0.5000  2 Al 2.35

---

Record 3
BaAl2PIr after structural relaxation. Source: Alexandria, functional PBE.

Computed properties:
Space-group type = P4/mmm
ΔH_f (0 K) = -0.06 eV per atom

Cell lengths 4.7609, 4.7609, 6.1077 Å; angles 90.00, 90.00, 90.00 degrees
Last column: nearest neighbours and their distance in Å.
Positions (direct):
Ba 0.0000 0.0000 0.0000  2 Ir 3.05, 4 P 3.37
Al 0.0000 0.5000 0.5000  2 Ir 2.38
Al 0.5000 0.0000 0.5000  2 Ir 2.38
P 0.5000 0.5000 0.0000  4 Ba 3.37
Ir 0.0000 0.0000 0.5000  4 Al 2.38

---

Record 4
BaAl2IrPd after structural relaxation. Source: Alexandria, functional PBE.

Computed properties:
Space-group type = P4/mmm
ΔH_f (0 K) = 2.14 eV per atom

Cell lengths 5.7288, 5.7288, 5.1429 Å; angles 90.00, 90.00, 90.00 degrees
Last column: nearest neighbours and their distance in Å.
Positions (direct):
Ba 0.0000 0.0000 0.0000  2 Pd 2.57, 4 Al 2.86
Al 0.0000 0.5000 0.0000  2 Ba 2.86
Al 0.5000 0.0000 0.0000  2 Ba 2.86
Ir 0.5000 0.5000 0.5000  8 Al 3.85, 4 Pd 4.05
Pd 0.0000 0.0000 0.5000  2 Ba 2.57

---

Record 5
Ba2AlReIr after structural relaxation. Source: Alexandria, functional PBE.

Computed properties:
Space-group type = P4/mmm
ΔH_f (0 K) = 0.88 eV per atom

Cell lengths 6.0260, 6.0260, 4.7455 Å; angles 90.00, 90.00, 90.00 degrees
Last column: nearest neighbours and their distance in Å.
Positions (direct):
Ba 0.0000 0.5000 0.0000  2 Ir 3.01
Ba 0.5000 0.0000 0.0000  2 Ir 3.01
Al 0.0000 0.0000 0.5000  2 Ir 2.37
Re 0.5000 0.5000 0.5000  8 Ba 3.84, 4 Al 4.26
Ir 0.0000 0.0000 0.0000  2 Al 2.37

---

Record 6
BaAlSiIr after structural relaxation. Source: Alexandria, functional PBE.

Computed properties:
Space-group type = P4/nmm
Energy relative to the elements, uncorrected = -0.47 eV per atom

Cell lengths 4.0712, 4.0712, 12.4282 Å; angles 90.00, 90.00, 90.00 degrees
Last column: nearest neighbours and their distance in Å.
Positions (direct):
Ba 0.2500 0.2500 0.2454  4 Si 3.39, 4 Ir 3.67, 4 Al 3.76
Ba 0.7500 0.7500 0.7546  4 Si 3.39, 4 Ir 3.67, 4 Al 3.76
Al 0.2500 0.7500 0.5000  4 Al 2.88
Al 0.7500 0.2500 0.5000  4 Al 2.88
Si 0.2500 0.2500 0.8992  4 Ir 2.39
Si 0.7500 0.7500 0.1008  4 Ir 2.39
Ir 0.2500 0.7500 0.0000  4 Si 2.39
Ir 0.7500 0.2500 0.0000  4 Si 2.39

---

Record 7
Ba2AlTeIr after structural relaxation. Source: Alexandria, functional PBE.

Computed properties:
Space-group type = P4/mmm
Energy relative to the elements, uncorrected = -0.73 eV per atom

Cell lengths 6.0485, 6.0485, 4.8027 Å; angles 90.00, 90.00, 90.00 degrees
Last column: nearest neighbours and their distance in Å.
Positions (direct):
Ba 0.0000 0.5000 0.0000  2 Ir 3.02
Ba 0.5000 0.0000 0.0000  2 Ir 3.02
Al 0.0000 0.0000 0.5000  2 Ir 2.40
Te 0.5000 0.5000 0.5000  8 Ba 3.86, 4 Al 4.28
Ir 0.0000 0.0000 0.0000  2 Al 2.40

---

Record 8
BaY2AlIr after structural relaxation. Source: Alexandria, functional PBE.

Computed properties:
Space-group type = P4/mmm
ΔH_f (0 K) = -0.34 eV per atom

Cell lengths 5.4797, 5.4797, 5.0297 Å; angles 90.00, 90.00, 90.00 degrees
Last column: nearest neighbours and their distance in Å.
Positions (direct):
Ba 0.0000 0.0000 0.0000  8 Y 3.72, 4 Al 3.87
Y 0.0000 0.5000 0.5000  2 Ir 2.74
Y 0.5000 0.0000 0.5000  2 Ir 2.74
Al 0.5000 0.5000 0.0000  2 Ir 2.51
Ir 0.5000 0.5000 0.5000  2 Al 2.51, 4 Y 2.74

---

Record 9
BaAlZn2Ir after structural relaxation. Source: Alexandria, functional PBE.

Computed properties:
Space-group type = P4/mmm
ΔH_f (0 K) = -0.42 eV per atom

Cell lengths 4.9761, 4.9761, 4.7656 Å; angles 90.00, 90.00, 90.00 degrees
Last column: nearest neighbours and their distance in Å.
Positions (direct):
Ba 0.0000 0.0000 0.0000  8 Zn 3.44, 4 Al 3.52
Al 0.5000 0.5000 0.0000  2 Ir 2.38
Zn 0.0000 0.5000 0.5000  2 Ir 2.49
Zn 0.5000 0.0000 0.5000  2 Ir 2.49
Ir 0.5000 0.5000 0.5000  2 Al 2.38, 4 Zn 2.49

---

Record 10
KBa2Al2 after structural relaxation. Source: Alexandria, functional PBE.

Computed properties:
Relative energy among the computed polymorphs = 0.00 eV per formula unit
Space-group type = P4/mbm
ΔH_f (0 K) = 0.04 eV per atom

Cell lengths 9.7504, 9.7504, 4.3496 Å; angles 90.00, 90.00, 90.00 degrees
Last column: nearest neighbours and their distance in Å.
Positions (direct):
K 0.0000 0.0000 0.0000  4 Al 4.02, 8 Ba 4.18, 2 K 4.35
K 0.5000 0.5000 0.0000  4 Al 4.02, 8 Ba 4.18, 2 K 4.35
Ba 0.1824 0.3176 0.5000  6 Al 3.60-3.71
Ba 0.3176 0.8176 0.5000  6 Al 3.60-3.71
Ba 0.6824 0.1824 0.5000  6 Al 3.60-3.71
Ba 0.8176 0.6824 0.5000  6 Al 3.60-3.71
Al 0.0994 0.5994 0.0000  1 Al 2.74
Al 0.4006 0.0994 0.0000  1 Al 2.74
Al 0.5994 0.9006 0.0000  1 Al 2.74
Al 0.9006 0.4006 0.0000  1 Al 2.74

---

Record 11
K2BaAl after structural relaxation. Source: Alexandria, functional PBE.

Computed properties:
Space-group type = Pm
ΔH_f (0 K) = 0.11 eV per atom

Cell lengths 4.2729, 4.2755, 11.4339 Å; angles 90.00, 90.04, 90.00 degrees
Last column: nearest neighbours and their distance in Å.
Positions (direct):
K 0.0000 0.0000 0.0000  4 K 4.27-4.28, 4 Ba 4.72-4.73
K 0.4975 0.5000 0.6661  4 Al 3.78-3.79, 1 Ba 3.99
Ba 0.4975 0.5000 0.3176  4 Al 3.47
Al 0.9976 0.0000 0.4667  4 Ba 3.47, 4 K 3.78-3.79

---

Record 12
KBaAl2 after structural relaxation. Source: Alexandria, functional PBE.

Computed properties:
Relative energy among the computed polymorphs = 0.53 eV per formula unit
Space-group type = C2/m
ΔH_f (0 K) = 0.11 eV per atom

Cell lengths 12.6597, 4.6193, 8.7119 Å; angles 90.00, 132.04, 90.00 degrees
Last column: nearest neighbours and their distance in Å.
Positions (direct):
K 0.0000 0.0000 0.0000  6 Al 3.57-3.78
K 0.5000 0.5000 0.0000  6 Al 3.57-3.78
Ba 0.0000 0.5000 0.5000  6 Al 3.57-3.65
Ba 0.5000 0.0000 0.5000  6 Al 3.57-3.65
Al 0.2363 0.0000 0.5505  2 Al 2.58
Al 0.2637 0.5000 0.4495  2 Al 2.58
Al 0.7363 0.5000 0.5505  2 Al 2.58
Al 0.7637 0.0000 0.4495  2 Al 2.58

---

Respective M_tot values: 0.4554; 0.2827; 0.1466; 0.2073; 0.6816; 0.0000; 0.0000; 0.0000; 0.0000; 0.0000; 0.0000; 0.0001 μB per atom.
Respective calculated total energy values: -3.8722; -6.3060; -4.8007; -2.5542; -4.8945; -5.4572; -4.6444; -5.8266; -3.8348; -2.4434; -1.8546; -2.5130 eV per atom.